Record 1
VASP calculation (GGA-PBE) on crystalline Ta2ReAu at its relaxed geometry.

Cell and atoms, written as extended XYZ:
```
4
Lattice="3.348 0.000 0.000 0.000 3.348 0.000 0.000 0.000 6.132" Properties=species:S:1:pos:R:3 pbc="T T T"
Ta 0.000 0.000 0.000
Ta 1.674 1.674 1.632
Re 1.674 1.674 4.785
Au 0.000 0.000 3.120
```

Results
**Total DFT energy (no corrections)**: -9.831 eV per atom
**ΔE_f**: 3 kJ/mol of atoms
**Crystal system**: tetragonal
**Calculated volume**: 69 Å³/cell

Record 2
VASP calculation (GGA-PBE) on crystalline TaReAu at its relaxed geometry.

Cell and atoms, written as extended XYZ:
```
6
Lattice="2.701 0.000 0.000 0.000 4.279 0.000 0.000 0.000 8.709" Properties=species:S:1:pos:R:3 pbc="T T T"
Ta 0.000 0.000 0.000
Ta 1.350 2.139 4.354
Re 0.000 0.000 2.939
Re 1.350 2.139 7.293
Au 0.000 0.000 5.846
Au 1.350 2.139 1.492
```

Results
**Total DFT energy (no corrections)**: -9.037 eV per atom
**ΔE_f**: 15 kJ/mol of atoms
**Crystal system**: orthorhombic
**Calculated volume**: 101 Å³/cell